{"formula": "HfInCu2", "functional": "PBE", "state": "relaxed", "lattice": [[3.120, 0.000, 0.000], [0.000, 3.120, 0.000], [0.000, 0.000, 6.829]], "species": ["Cu", "Cu", "Hf", "In"], "frac_coords": [[0.500, 0.500, 0.252], [0.500, 0.500, 0.748], [0.000, 0.000, 0.500], [0.000, 0.000, 0.000]], "final_energy_ev_per_atom": -5.07, "total_magnetization_mub_per_fu": 0.1}

{"formula": "HfInCu2", "functional": "PBE", "state": "relaxed", "lattice": [[-3.368, 0.656, -2.738], [2.581, -0.988, -3.411], [-0.890, -3.342, 0.294]], "species": ["Cu", "Cu", "Hf", "In"], "frac_coords": [[0.500, 0.000, 0.500], [0.000, 0.500, 0.500], [0.500, 0.500, 0.000], [0.000, 0.000, 0.000]], "final_energy_ev_per_atom": -5.06, "total_magnetization_mub_per_fu": 0.0}

{"formula": "HfInCu2", "functional": "PBE", "state": "relaxed", "lattice": [[-5.172, 1.440, -2.896], [1.543, -3.691, -4.592], [-3.240, -5.285, 3.159]], "species": ["Cu", "Cu", "Cu", "Cu", "Cu", "Cu", "Cu", "Cu", "Hf", "Hf", "Hf", "Hf", "In", "In", "In", "In"], "frac_coords": [[0.500, 0.001, 0.250], [0.500, 0.499, 0.250], [0.000, 0.501, 0.250], [0.000, 0.999, 0.250], [0.000, 0.001, 0.750], [0.000, 0.499, 0.750], [0.500, 0.501, 0.750], [0.500, 0.999, 0.750], [0.250, 0.750, 0.000], [0.750, 0.250, 0.500], [0.250, 0.750, 0.500], [0.750, 0.250, 0.000], [0.750, 0.750, 0.000], [0.250, 0.250, 0.500], [0.750, 0.750, 0.500], [0.250, 0.250, 0.000]], "final_energy_ev_per_atom": -5.05, "total_magnetization_mub_per_fu": 0.0}

{"formula": "Hf2InCu", "functional": "PBE", "state": "relaxed", "lattice": [[0.000, 3.421, 3.421], [3.421, 0.000, 3.421], [3.421, 3.421, 0.000]], "species": ["Cu", "Hf", "Hf", "In"], "frac_coords": [[0.250, 0.250, 0.250], [0.000, 0.000, 0.000], [0.750, 0.750, 0.750], [0.500, 0.500, 0.500]], "final_energy_ev_per_atom": -6.27, "total_magnetization_mub_per_fu": 1.8}

{"formula": "LiHfInCu", "functional": "PBE", "state": "relaxed", "lattice": [[3.480, -2.791, -1.191], [0.444, -4.128, 2.020], [-0.848, -3.850, -2.404]], "species": ["Cu", "Hf", "In", "Li"], "frac_coords": [[0.750, 0.750, 0.750], [0.250, 0.250, 0.250], [0.000, 0.000, 0.000], [0.500, 0.500, 0.500]], "final_energy_ev_per_atom": -4.44, "total_magnetization_mub_per_fu": 0.0}

{"formula": "LiHfInCu", "functional": "PBE", "state": "relaxed", "lattice": [[0.000, 3.200, 3.200], [3.200, 0.000, 3.200], [3.200, 3.200, 0.000]], "species": ["Cu", "Hf", "In", "Li"], "frac_coords": [[0.750, 0.750, 0.750], [0.500, 0.500, 0.500], [0.000, 0.000, 0.000], [0.250, 0.250, 0.250]], "final_energy_ev_per_atom": -4.68, "total_magnetization_mub_per_fu": 0.0}

{"formula": "LiHf2In2CuPd2", "functional": "PBE", "state": "relaxed", "lattice": [[-2.037, 0.630, 4.074], [-0.134, -4.552, 0.637], [5.836, 0.232, 2.883]], "species": ["Cu", "Hf", "Hf", "In", "In", "Li", "Pd", "Pd"], "frac_coords": [[0.000, 0.000, 0.000], [0.500, 0.000, 0.242], [0.000, 0.500, 0.758], [0.000, 0.500, 0.253], [0.500, 0.000, 0.747], [0.500, 0.500, 0.500], [0.500, 0.500, 0.000], [0.000, 0.000, 0.500]], "final_energy_ev_per_atom": -5.64, "total_magnetization_mub_per_fu": 0.0}

{"formula": "LuHfInCu", "functional": "PBE", "state": "relaxed", "lattice": [[0.000, 3.490, 3.490], [3.490, 0.000, 3.490], [3.490, 3.490, 0.000]], "species": ["Cu", "Hf", "In", "Lu"], "frac_coords": [[0.750, 0.750, 0.750], [0.250, 0.250, 0.250], [0.000, 0.000, 0.000], [0.500, 0.500, 0.500]], "final_energy_ev_per_atom": -5.00, "total_magnetization_mub_per_fu": 0.6}